No. 1
The following is a DFT calculation (GGA-PBE) of a relaxed La3Zn4Rh2 crystal.

abc: 4.287 6.139 8.788
angles: 69.42 75.88 69.57
Atoms (fractional coordinates):
La: 0.315 0.723 0.648
La: 0.000 0.000 0.000
La: 0.685 0.277 0.352
Zn: 0.278 0.388 0.055
Zn: 0.722 0.612 0.945
Zn: 0.032 0.307 0.630
Zn: 0.968 0.693 0.370
Rh: 0.389 0.953 0.268
Rh: 0.611 0.047 0.732

calculated formation energy: -0.54 eV per atom
crystal system: monoclinic

=====

No. 2
The following is a DFT calculation (GGA-PBE) of a relaxed La2ScCu2 crystal.

abc: 8.417 8.417 3.426
angles: 90.00 90.00 90.00
Atoms (fractional coordinates):
Sc: 0.000 0.000 0.000
Sc: 0.500 0.500 0.000
Cu: 0.156 0.656 0.500
Cu: 0.656 0.844 0.500
Cu: 0.844 0.344 0.500
Cu: 0.344 0.156 0.500
La: 0.355 0.855 0.000
La: 0.855 0.645 0.000
La: 0.645 0.145 0.000
La: 0.145 0.355 0.000

energy above the lowest structure with this stoichiometry: 18.9 kJ per mole of atoms
calculated formation energy: 0.09 eV per atom
crystal system: tetragonal

=====

No. 3
The following is a DFT calculation (GGA-PBE) of a relaxed NaSrBi2H crystal.

abc: 5.150 5.150 4.937
angles: 90.00 90.00 90.00
Atoms (fractional coordinates):
Sr: 0.000 0.000 0.500
Bi: 0.000 0.500 0.000
Bi: 0.500 0.000 0.000
H: 0.000 0.000 0.000
Na: 0.500 0.500 0.500

crystal system: tetragonal

=====

no.,uncorrected energy (eV per atom),Fermi-level density of states (states/eV/atom)
1,-4.385,0.6863
2,-4.786,0.7925
3,-3.103,0.2070